A plane-wave DFT calculation with PBE was carried out for a geometry-optimized YErGa4 structure.

Unit cell a=4.2459 b=5.7871 c=5.7871 alpha=73.99 beta=68.48 gamma=68.48
Last column: nearest neighbours and their distance in Å.
Fractional positions:
1 Ga 0.8387 0.4640 0.8585  4 Ga 2.58-2.75
2 Ga 0.8387 0.8585 0.4640  4 Ga 2.58-2.75
3 Ga 0.1609 0.0391 0.6391  4 Ga 2.58-2.79
4 Ga 0.1609 0.6391 0.0391  4 Ga 2.58-2.79
5 Y 0.4400 0.0600 0.0600  10 Ga 3.10-3.12
6 Er 0.5608 0.4392 0.4392  10 Ga 3.09-3.12

Computed properties:
* ΔE_f: -0.63 eV/atom
* spin magnetization: 0.0 Bohr magnetons per cell
* raw total energy: -4.488 eV/atom
* DOS at the Fermi energy: 3.07 states/eV/cell
* symmetry: No. 44
* energy above the most stable polymorph in this dataset: 0.0000 eV/atom

=====

A plane-wave DFT calculation with PBE was carried out for a geometry-optimized Y3ErGa2 structure.

Unit cell a=4.9465 b=6.5804 c=9.4769 alpha=90.00 beta=90.00 gamma=90.00
Last column: nearest neighbours and their distance in Å.
Fractional positions:
1 Y 0.5000 0.1734 0.8187  4 Ga 3.05-3.10, 2 Y 3.37
2 Y 0.0000 0.4659 0.9507  3 Ga 3.07-3.16, 4 Y 3.37-3.42
3 Y 0.0000 0.3259 0.3227  4 Ga 3.02-3.12, 2 Er 3.36
4 Y 0.5000 0.6734 0.1813  4 Ga 3.05-3.10, 2 Y 3.37
5 Y 0.0000 0.9659 0.0493  3 Ga 3.07-3.16, 4 Y 3.37-3.42
6 Y 0.0000 0.8259 0.6773  4 Ga 3.02-3.12, 2 Er 3.36
7 Ga 0.5000 0.7086 0.8599  6 Y 3.05-3.12, 1 Er 3.15
8 Ga 0.0000 0.7927 0.3597  5 Y 3.02-3.16, 2 Er 3.06
9 Ga 0.5000 0.2086 0.1401  6 Y 3.05-3.12, 1 Er 3.15
10 Ga 0.0000 0.2927 0.6403  5 Y 3.02-3.16, 2 Er 3.06
11 Er 0.5000 0.5336 0.5501  3 Ga 3.06-3.15, 2 Y 3.36, 2 Er 3.42
12 Er 0.5000 0.0336 0.4499  3 Ga 3.06-3.15, 2 Y 3.36, 2 Er 3.42

Computed properties:
* ΔE_f: -0.45 eV/atom
* spin magnetization: 0.0 Bohr magnetons per cell
* raw total energy: -5.447 eV/atom
* DOS at the Fermi energy: 11.65 states/eV/cell
* symmetry: No. 26
* energy above the most stable polymorph in this dataset: 0.0000 eV/atom

=====

A plane-wave DFT calculation with PBE was carried out for a geometry-optimized Y4ErGa4 structure.

Unit cell a=5.9884 b=8.9914 c=8.9914 alpha=90.00 beta=90.00 gamma=90.00
Last column: nearest neighbours and their distance in Å.
Fractional positions:
1 Ga 0.3659 0.6288 0.7701  1 Ga 2.61, 1 Er 2.81, 1 Y 2.91
2 Ga 0.8659 0.2701 0.8712  1 Ga 2.61, 1 Er 2.81, 1 Y 2.91
3 Ga 0.1341 0.8712 0.7299  1 Ga 2.61, 1 Er 2.81, 1 Y 2.91
4 Ga 0.1341 0.1288 0.2701  1 Ga 2.61, 1 Er 2.81, 1 Y 2.91
5 Ga 0.6341 0.2299 0.6288  1 Ga 2.61, 1 Er 2.81, 1 Y 2.91
6 Ga 0.8659 0.7299 0.1288  1 Ga 2.61, 1 Er 2.81, 1 Y 2.91
7 Ga 0.6341 0.7701 0.3712  1 Ga 2.61, 1 Er 2.81, 1 Y 2.91
8 Ga 0.3659 0.3712 0.2299  1 Ga 2.61, 1 Er 2.81, 1 Y 2.91
9 Er 0.5000 0.5000 0.5000  4 Ga 2.81
10 Er 0.0000 0.0000 0.0000  4 Ga 2.81
11 Y 0.8799 0.5887 0.8122  5 Ga 2.91-3.12
12 Y 0.1201 0.8122 0.4113  5 Ga 2.91-3.12
13 Y 0.1201 0.1878 0.5887  5 Ga 2.91-3.12
14 Y 0.3799 0.6878 0.0887  5 Ga 2.91-3.12
15 Y 0.6201 0.0887 0.3122  5 Ga 2.91-3.12
16 Y 0.8799 0.4113 0.1878  5 Ga 2.91-3.12
17 Y 0.3799 0.3122 0.9113  5 Ga 2.91-3.12
18 Y 0.6201 0.9113 0.6878  5 Ga 2.91-3.12

Computed properties:
* ΔE_f: -0.40 eV/atom
* spin magnetization: 0.0 Bohr magnetons per cell
* raw total energy: -5.123 eV/atom
* DOS at the Fermi energy: 12.64 states/eV/cell
* symmetry: No. 86

=====

A plane-wave DFT calculation with PBE was carried out for a geometry-optimized YEr2Ga structure.

Unit cell a=3.5073 b=3.5073 c=8.8507 alpha=90.00 beta=90.00 gamma=90.00
Last column: nearest neighbours and their distance in Å.
Fractional positions:
1 Er 0.0000 0.0000 0.7928  4 Ga 3.08
2 Er 0.0000 0.0000 0.2072  4 Ga 3.08
3 Y 0.5000 0.5000 0.5000  4 Y 3.51, 8 Er 3.59
4 Ga 0.5000 0.5000 0.0000  8 Er 3.08

Computed properties:
* ΔE_f: -0.29 eV/atom
* spin magnetization: 0.0 Bohr magnetons per cell
* raw total energy: -4.941 eV/atom
* DOS at the Fermi energy: 4.41 states/eV/cell
* symmetry: No. 123
* energy above the most stable polymorph in this dataset: 0.0000 eV/atom

=====

A plane-wave DFT calculation with PBE was carried out for a geometry-optimized Y3Er2Ga2 structure.

Unit cell a=3.7133 b=6.7486 c=8.7920 alpha=113.38 beta=90.00 gamma=105.97
Last column: nearest neighbours and their distance in Å.
Fractional positions:
1 Ga 0.1845 0.3690 0.2177  2 Er 2.96, 5 Y 3.01-3.10
2 Ga 0.8155 0.6310 0.7823  2 Er 2.96, 5 Y 3.01-3.10
3 Er 0.1465 0.2929 0.8101  2 Ga 2.96
4 Er 0.8535 0.7071 0.1899  2 Ga 2.96
5 Y 0.3879 0.7758 0.5620  3 Ga 3.09-3.10
6 Y 0.5000 0.0000 0.0000  4 Ga 3.01
7 Y 0.6121 0.2242 0.4380  3 Ga 3.09-3.10

Computed properties:
* ΔE_f: -0.35 eV/atom
* spin magnetization: 0.0 Bohr magnetons per cell
* raw total energy: -5.284 eV/atom
* DOS at the Fermi energy: 7.01 states/eV/cell
* symmetry: No. 12

=====

A plane-wave DFT calculation with PBE was carried out for a geometry-optimized YEr2Ga structure.

Unit cell a=4.7197 b=4.6933 c=4.6933 alpha=90.00 beta=90.00 gamma=90.00
Last column: nearest neighbours and their distance in Å.
Fractional positions:
1 Er 0.0000 0.5000 0.0000  4 Er 3.32, 4 Ga 3.33, 4 Y 3.33
2 Er 0.0000 0.0000 0.5000  4 Er 3.32, 4 Ga 3.33, 4 Y 3.33
3 Y 0.5000 0.5000 0.5000  4 Ga 3.32, 8 Er 3.33
4 Ga 0.5000 0.0000 0.0000  4 Y 3.32, 8 Er 3.33

Computed properties:
* ΔE_f: -0.24 eV/atom
* spin magnetization: 0.0 Bohr magnetons per cell
* raw total energy: -4.893 eV/atom
* DOS at the Fermi energy: 5.55 states/eV/cell
* symmetry: No. 123
* energy above the most stable polymorph in this dataset: 0.0480 eV/atom

=====

Among the records above, which one has the highest ΔE_f? number 6

=====

Look up the ΔE_f of the second one. -0.45 eV/atom

=====

Among the records above, which one has the lowest raw total energy? Y3ErGa2